--- P ---
{
  "formula": "Tb4InIr",
  "functional": "PBE-GGA",
  "state": "relaxed",
  "lattice_angstrom": [[-2.964, 1.804, 9.062], [3.880, -4.880, 7.436], [5.906, 4.533, 6.225]],
  "species": ["Tb", "Tb", "Tb", "Tb", "Tb", "Tb", "Tb", "Tb", "Tb", "Tb", "Tb", "Tb", "Tb", "Tb", "Tb", "Tb", "In", "In", "In", "In", "Ir", "Ir", "Ir", "Ir"],
  "frac_coords": [[0.099, 0.703, 0.099], [0.942, 0.942, 0.558], [0.942, 0.558, 0.942], [0.310, 0.690, 0.310], [0.942, 0.558, 0.558], [0.310, 0.310, 0.690], [0.099, 0.099, 0.099], [0.558, 0.558, 0.942], [0.099, 0.099, 0.703], [0.690, 0.310, 0.690], [0.690, 0.690, 0.310], [0.690, 0.310, 0.310], [0.310, 0.690, 0.690], [0.558, 0.942, 0.558], [0.703, 0.099, 0.099], [0.558, 0.942, 0.942], [0.333, 0.333, 0.333], [0.002, 0.333, 0.333], [0.333, 0.002, 0.333], [0.333, 0.333, 0.002], [0.891, 0.891, 0.891], [0.891, 0.891, 0.327], [0.327, 0.891, 0.891], [0.891, 0.327, 0.891]],
  "crystal_system": "cubic"
}



--- Q ---
{
  "formula": "Tb4InIr",
  "functional": "PBE-GGA",
  "state": "relaxed",
  "lattice_angstrom": [[6.017, -0.642, 0.000], [-2.369, 8.670, 0.000], [-1.824, -4.014, 6.652]],
  "species": ["Tb", "Tb", "Tb", "Tb", "Tb", "Tb", "Tb", "Tb", "In", "In", "Ir", "Ir"],
  "frac_coords": [[0.087, 0.206, 0.850], [0.772, 0.718, 0.658], [0.263, 0.644, 0.850], [0.386, 0.940, 0.658], [0.614, 0.060, 0.342], [0.737, 0.356, 0.150], [0.228, 0.282, 0.342], [0.913, 0.794, 0.150], [0.374, 0.624, 0.248], [0.626, 0.376, 0.752], [0.250, 0.000, 0.001], [0.750, 0.000, 0.999]],
  "crystal_system": "monoclinic"
}



P is the most stable structure; the next one sits 68 meV/atom above it.



--- P ---
{
  "formula": "Nd7Dy12Y",
  "functional": "PBE-GGA",
  "state": "relaxed",
  "lattice_angstrom": [[8.495, 1.301, 1.953], [-1.112, 8.522, 1.953], [-1.112, -1.480, 8.616]],
  "species": ["Nd", "Nd", "Nd", "Nd", "Nd", "Nd", "Nd", "Dy", "Dy", "Dy", "Dy", "Dy", "Dy", "Dy", "Dy", "Dy", "Dy", "Dy", "Dy", "Y"],
  "frac_coords": [[0.845, 0.601, 0.920], [0.399, 0.080, 0.155], [0.080, 0.155, 0.399], [0.500, 0.500, 0.500], [0.920, 0.845, 0.601], [0.601, 0.920, 0.845], [0.155, 0.399, 0.080], [0.853, 0.252, 0.726], [0.748, 0.274, 0.147], [0.617, 0.134, 0.496], [0.866, 0.504, 0.383], [0.274, 0.147, 0.748], [0.504, 0.383, 0.866], [0.496, 0.617, 0.134], [0.726, 0.853, 0.252], [0.134, 0.496, 0.617], [0.383, 0.866, 0.504], [0.252, 0.726, 0.853], [0.147, 0.748, 0.274], [0.000, 0.000, 0.000]],
  "crystal_system": "trigonal"
}



--- Q ---
{
  "formula": "Nd7Dy12Y",
  "functional": "PBE-GGA",
  "state": "relaxed",
  "lattice_angstrom": [[9.259, 0.000, -3.273], [-4.629, 8.018, -3.273], [0.000, 0.000, 9.820]],
  "species": ["Nd", "Nd", "Nd", "Nd", "Nd", "Nd", "Nd", "Dy", "Dy", "Dy", "Dy", "Dy", "Dy", "Dy", "Dy", "Dy", "Dy", "Dy", "Dy", "Y"],
  "frac_coords": [[0.500, 0.500, 0.000], [0.000, 0.500, 0.500], [0.500, 0.000, 0.500], [0.500, 0.500, 0.500], [0.000, 0.000, 0.500], [0.500, 0.000, 0.000], [0.000, 0.500, 0.000], [0.505, 0.753, 0.752], [0.000, 0.753, 0.248], [0.495, 0.247, 0.248], [0.000, 0.247, 0.752], [0.752, 0.000, 0.247], [0.752, 0.505, 0.753], [0.248, 0.000, 0.753], [0.248, 0.495, 0.247], [0.753, 0.752, 0.505], [0.247, 0.248, 0.495], [0.753, 0.248, 0.000], [0.247, 0.752, 0.000], [0.000, 0.000, 0.000]],
  "crystal_system": "cubic"
}



P is the most stable structure; the next one sits 404 meV/atom above it.